1.
Computed, not measured: a relaxed Eu2DyCd crystal at the GGA-PBE level of DFT.

Cell lengths 3.6267, 3.6267, 12.8673 Å; angles 81.90, 81.90, 60.00 degrees
With the nearest neighbours (Å) after each atom.
Fractional coordinates of all 4 atoms:
Eu  0.0872  0.0872  0.7384  1 Cd 3.32, 6 Eu 3.63, 3 Dy 3.68
Eu  0.9128  0.9128  0.2616  1 Cd 3.32, 6 Eu 3.63, 3 Dy 3.68
Dy  0.5000  0.5000  0.5000  6 Dy 3.63, 6 Eu 3.68
Cd  0.0000  0.0000  0.0000  2 Eu 3.32, 6 Cd 3.63

E_form: 0.17 eV per atom
total magnetic moment: 15.64 Bohr magnetons per cell
DOS(E_F): 4.55 states/eV per cell
electronic total energy: -6.342 eV per atom
symmetry: R-3m
ΔE to the lowest computed polymorph: 261 meV per atom
calculated density: 6.647 g cm⁻³


2.
Computed, not measured: a relaxed K2CaP2S6 crystal at the GGA-PBE level of DFT.

Cell lengths 6.9367, 6.9367, 8.2202 Å; angles 65.04, 65.04, 60.00 degrees
With the nearest neighbours (Å) after each atom.
Fractional coordinates of all 11 atoms:
Ca  0.0000  0.0000  0.0000  6 S 2.83
S  0.7392  0.2468  0.2747  1 P 2.02
S  0.2468  0.7392  0.2747  1 P 2.02
S  0.7532  0.2608  0.7253  1 P 2.02
S  0.2608  0.2608  0.7253  1 P 2.02
S  0.7392  0.7392  0.2747  1 P 2.02
S  0.2608  0.7532  0.7253  1 P 2.02
K  0.7797  0.7797  0.6610  9 S 3.44-3.50
K  0.2203  0.2203  0.3390  9 S 3.44-3.50
P  0.5538  0.5538  0.3385  3 S 2.02
P  0.4462  0.4462  0.6615  3 S 2.02

total magnetic moment: 0.00 Bohr magnetons per cell
electronic total energy: -4.540 eV per atom
symmetry: R-3m
calculated density: 2.068 g cm⁻³


3.
Computed, not measured: a relaxed TbGa4Tc crystal at the GGA-PBE level of DFT.

Cell lengths 4.6151, 5.3824, 5.3824 Å; angles 89.89, 64.61, 64.61 degrees
With the nearest neighbours (Å) after each atom.
Fractional coordinates of all 6 atoms:
Ga  0.2225  0.1143  0.4407  4 Ga 2.48-2.70
Ga  0.7775  0.5593  0.8857  4 Ga 2.48-2.70
Ga  0.7775  0.8857  0.5593  4 Ga 2.48-2.70
Ga  0.2225  0.4407  0.1143  4 Ga 2.48-2.70
Tb  0.0000  0.0000  0.0000  12 Ga 2.89-3.11, 2 Tc 3.03
Tc  0.5000  0.5000  0.5000  12 Ga 2.95-3.06, 2 Tb 3.03

E_form: -0.13 eV per atom
total magnetic moment: 0.00 Bohr magnetons per cell
DOS(E_F): 4.03 states/eV per cell
electronic total energy: -4.644 eV per atom
symmetry: Immm
ΔE to the lowest computed polymorph: 126 meV per atom
calculated density: 8.364 g cm⁻³